Record 1
The following is a DFT calculation (PBE) of crystalline La2Pr3TmS6 at its relaxed geometry.

- M_tot (μB/cell) = 0.00
- uncorrected formation energy (eV/atom) = -2.05
- E_tot (eV/atom) = -6.51
- space group = C2/m, No. 12

```
La2Pr3TmS6
1.0
-3.019 -2.591 -5.852
6.906 -1.002 1.169
-2.669 -4.456 4.782
La Pr Tm S
2 3 1 6
Cartesian
3.592 -1.533 -1.176
0.296 -2.061 -3.507
3.867 -3.503 2.354
-2.649 -4.546 -2.255
0.609 -4.025 0.050
0.000 0.000 0.000
-0.652 -6.374 -1.050
2.314 -3.841 -2.402
1.871 -1.675 1.149
2.514 -5.867 1.189
-1.096 -4.209 2.502
-1.295 -2.182 -1.090
```

***

Record 2
The following is a DFT calculation (PBE) of crystalline Pr4SbPt at its relaxed geometry.

- M_tot (μB/cell) = 0.00
- uncorrected formation energy (eV/atom) = -0.65
- E_tot (eV/atom) = -5.53
- space group = Cmcm, No. 63

```
Pr4SbPt
1.0
-2.623 1.457 4.830
4.652 -2.919 3.406
6.798 8.311 -2.162
Pr Sb Pt
8 2 2
Cartesian
4.508 6.907 3.711
4.991 -0.479 2.854
8.738 5.695 3.027
0.762 0.732 3.539
3.575 2.740 4.461
3.583 5.157 0.390
1.263 4.190 2.769
5.924 3.689 2.104
6.318 4.598 5.391
3.181 1.831 1.175
3.409 -0.195 5.257
6.090 6.623 1.309
```

***

Record 3
The following is a DFT calculation (PBE) of crystalline Na3Sm2AlSe6 at its relaxed geometry.

- M_tot (μB/cell) = 0.00
- uncorrected formation energy (eV/atom) = -1.41
- E_tot (eV/atom) = -4.58
- space group = C2/m, No. 12

```
Na3Sm2AlSe6
1.0
7.112 -0.005 -0.004
-3.559 6.158 -0.004
-1.190 -2.060 7.008
Na Sm Al Se
3 2 1 6
Cartesian
-2.353 4.088 3.500
4.717 0.005 3.500
1.182 2.047 3.500
-0.001 4.103 -0.004
3.555 2.050 -0.004
0.000 0.000 0.000
3.452 2.212 5.432
2.482 4.298 1.527
-1.088 1.881 1.568
0.191 4.095 5.432
-0.119 -0.205 5.472
2.173 -0.002 1.568
```

***

Record 4
The following is a DFT calculation (PBE) of crystalline Cs9KNa3 at its relaxed geometry.

- M_tot (μB/cell) = 0.00
- E_tot (eV/atom) = -0.94
- calculated formation energy (eV per atom) = 0.044
- space group = C2/m, No. 12

```
Cs9KNa3
1.0
8.587 -0.098 3.486
4.024 10.949 1.633
-0.134 -0.049 12.651
Cs K Na
9 1 3
Cartesian
8.952 8.567 13.552
3.524 2.236 4.218
5.332 2.187 12.083
7.144 8.616 5.687
7.062 3.321 7.283
5.415 7.481 10.487
11.058 7.432 8.905
1.419 3.370 8.865
2.012 5.474 0.817
0.000 0.000 0.000
6.305 5.426 2.559
-0.067 -0.024 6.325
4.226 -0.073 8.068
```

***

Record 5
The following is a DFT calculation (PBE) of crystalline K2ScW at its relaxed geometry.

- M_tot (μB/cell) = 0.03
- E_tot (eV/atom) = -3.94
- calculated formation energy (eV per atom) = 1.425
- space group = Cmmm, No. 65

```
K2ScW
1.0
7.128 0.005 0.000
-4.778 5.289 0.000
0.000 0.000 2.913
K Sc W
2 1 1
Cartesian
0.000 0.000 0.000
1.175 2.647 0.000
3.564 0.003 1.457
-2.389 2.644 1.457
```

***

Record 6
The following is a DFT calculation (PBE) of crystalline LaY5Er12 at its relaxed geometry.

- M_tot (μB/cell) = 0.00
- E_tot (eV/atom) = -5.08
- calculated formation energy (eV per atom) = 0.029
- space group = Cmmm, No. 65

```
LaY5Er12
1.0
-1.309 14.093 4.991
-5.822 4.803 7.475
3.610 -0.855 3.361
La Y Er
1 5 12
Cartesian
0.000 0.000 0.000
1.150 6.619 4.176
-2.274 5.132 7.475
-1.247 12.909 8.351
-4.757 12.596 8.313
-2.374 6.300 4.152
0.718 11.273 5.824
1.583 1.965 2.527
-0.874 9.411 3.333
3.175 3.827 5.018
-0.699 7.084 10.008
-5.175 17.266 9.950
1.654 0.775 5.876
-2.822 10.957 5.818
-0.786 8.234 6.667
-3.173 14.528 10.831
-0.348 3.513 4.995
-2.734 9.807 9.159
```

***

Record 7
The following is a DFT calculation (PBE) of crystalline La2SmDy at its relaxed geometry.

- M_tot (μB/cell) = 0.00
- E_tot (eV/atom) = -4.69
- calculated formation energy (eV per atom) = 0.101
- space group = Fm-3m, No. 225

```
La2SmDy
1.0
-0.470 -5.306 -2.394
2.638 -4.574 2.496
-3.183 -4.123 2.641
La Sm Dy
2 1 1
Cartesian
-0.254 -3.501 0.686
-0.761 -10.503 2.057
-0.507 -7.002 1.371
0.000 0.000 0.000
```

***

Record 8
The following is a DFT calculation (PBE) of crystalline RbUAu2Se4 at its relaxed geometry.

- M_tot (μB/cell) = 1.00
- uncorrected formation energy (eV/atom) = -0.60
- E_tot (eV/atom) = -4.69
- space group = I222, No. 23

```
RbUAu2Se4
1.0
-1.702 0.890 -5.373
3.496 -4.448 -4.874
-5.746 -4.361 -1.932
Rb U Au Se
1 1 2 4
Cartesian
0.000 0.000 0.000
-1.976 -3.960 -6.089
-1.040 -2.907 -3.182
-2.911 -5.013 -8.997
-3.193 -2.369 -4.298
-0.117 -5.886 -5.854
-0.562 -2.064 -7.367
-4.032 -5.520 -6.840
```